{"formula": "Ni2OsPd", "functional": "PBE", "state": "relaxed", "dos_at_fermi_per_ev_atom": 1.80, "e_tot_ev_per_cell": -50.43, "cell": [[-3.3000, 3.3000, 2.6145], [3.3000, -3.3000, 2.6145], [3.3000, 3.3000, -2.6145]], "species": ["Ni", "Ni", "Ni", "Ni", "Os", "Os", "Pd", "Pd"], "frac_coords": [[0.1062, 0.6250, 0.9812], [0.3750, 0.3562, 0.4812], [0.6438, 0.1250, 0.0188], [0.8750, 0.8938, 0.5188], [0.0000, 0.0000, 0.0000], [0.7500, 0.2500, 0.5000], [0.2500, 0.7500, 0.5000], [0.5000, 0.5000, 0.0000]]}

=====

{"formula": "ZnNiOsPd2", "functional": "PBE", "state": "relaxed", "dos_at_fermi_per_ev_atom": 1.37, "e_tot_ev_per_cell": -22.32, "cell": [[4.8573, 0.0000, 0.0000], [0.0000, 4.8573, 0.0000], [0.0000, 0.0000, 4.4679]], "species": ["Zn", "Ni", "Os", "Pd", "Pd"], "frac_coords": [[0.0000, 0.0000, 0.0000], [0.5000, 0.5000, 0.0000], [0.5000, 0.5000, 0.5000], [0.0000, 0.5000, 0.5000], [0.5000, 0.0000, 0.5000]]}